(1)
An optimized crystal structure of Sr2TiVSb, computed with PBE.

Computed properties:
raw total energy: -3.95 eV per atom

abc: 6.206 6.206 5.214
angles: 90.00 90.00 90.00
Space group P4/mmm (No. 123)
One atom of each set of equivalent atoms:
Sr 0.000 0.500 0.000 [2 per cell]
Ti 0.000 0.000 0.500 [1 per cell]
V 0.500 0.500 0.500 [1 per cell]
Sb 0.000 0.000 0.000 [1 per cell]

---

(2)
An optimized crystal structure of SrTlSb2, computed with PBE.

Computed properties:
raw total energy: -3.37 eV per atom
energy above the most stable polymorph in this dataset: 170.4 meV per atom

abc: 4.217 4.217 7.031
angles: 90.00 90.00 90.00
Space group P4mm (No. 99)
One atom of each set of equivalent atoms:
Sr 0.000 0.000 0.000 [1 per cell]
Tl 0.500 0.500 0.285 [1 per cell]
Sb 0.000 0.000 0.522 [1 per cell]
Sb 0.500 0.500 0.721 [1 per cell]